Entry 1:
Li2PmPr2In5: relaxed, PBE.

Structure (POSCAR):
```
Li2PmPr2In5
1.0
-2.154 3.967 -0.070
-7.830 -4.351 -5.549
-4.943 -2.526 8.957
Li Pm Pr In
4 2 4 10
direct
0.000 0.118 0.618
0.000 0.882 0.382
0.000 0.618 0.882
0.000 0.382 0.118
0.000 0.000 0.000
0.000 0.500 0.500
0.000 0.676 0.176
0.000 0.324 0.824
0.000 0.176 0.324
0.000 0.824 0.676
0.500 0.215 0.070
0.500 0.785 0.930
0.500 0.070 0.785
0.500 0.715 0.430
0.500 0.930 0.215
0.500 0.285 0.570
0.500 0.570 0.715
0.500 0.430 0.285
0.500 0.500 0.000
0.500 0.000 0.500
```

Results
As for the density of states at the Fermi level: 0.62 states/eV/atom. The calculation puts the formation energy from the elements at -4.28 eV per formula unit. As for the space group: No. 127. As for the total energy: -3.6109 eV per atom.


Entry 2:
Rb2ZnHgCl6: relaxed, PBE.

Structure (POSCAR):
```
Rb2ZnHgCl6
1.0
7.462 0.000 0.001
0.000 7.463 0.001
3.732 3.732 5.235
Rb Zn Hg Cl
2 1 1 6
direct
0.750 0.250 0.500
0.250 0.750 0.500
0.500 0.500 0.000
0.000 0.000 0.000
0.233 0.233 0.535
0.727 0.726 0.000
0.274 0.726 0.000
0.726 0.274 0.000
0.273 0.274 0.000
0.767 0.767 0.465
```

Results
Its raw formation energy is -1277 meV per atom. As for the space group: No. 139. As for the total energy: -2.7360 eV per atom.


Entry 3:
Ac2ZnIn6Hg: relaxed, PBE.

Structure (POSCAR):
```
Ac2ZnIn6Hg
1.0
7.273 0.000 0.000
3.637 6.299 0.000
3.637 2.100 12.780
Ac Zn In Hg
4 2 12 2
direct
0.894 0.894 0.319
0.106 0.106 0.681
0.718 0.718 0.847
0.282 0.282 0.153
0.000 0.000 0.000
0.500 0.500 0.500
0.925 0.333 0.409
0.333 0.925 0.409
0.333 0.333 0.409
0.075 0.667 0.591
0.667 0.075 0.591
0.667 0.667 0.591
0.658 0.221 0.900
0.221 0.658 0.900
0.221 0.221 0.900
0.342 0.779 0.100
0.779 0.342 0.100
0.779 0.779 0.100
0.573 0.573 0.282
0.427 0.427 0.718
```

Results
As for the density of states at the Fermi level: 0.60 states/eV/atom. The calculation puts the formation energy from the elements at -1.40 eV per formula unit. As for the space group: No. 166. As for the total energy: -2.7618 eV per atom.


Entry 4:
Tl4Hg5Te2: relaxed, PBE.

Structure (POSCAR):
```
Tl4Hg5Te2
1.0
-3.665 2.313 1.315
-4.950 -7.410 -0.763
3.149 0.009 8.759
Tl Hg Te
4 5 2
direct
0.500 0.712 0.679
0.500 0.713 0.174
0.500 0.288 0.321
0.500 0.287 0.826
0.000 0.362 0.091
0.000 0.628 0.405
0.000 0.000 0.500
0.000 0.372 0.595
0.000 0.638 0.909
0.000 0.999 0.792
0.000 0.001 0.208
```

Results
Its raw formation energy is -80 meV per atom. As for the density of states at the Fermi level: 0.25 states/eV/atom. As for the space group: No. 10. As for the total energy: -1.6485 eV per atom.


Entry 5:
Fe8Ru: relaxed, PBE.

Structure (POSCAR):
```
Fe8Ru
1.0
4.368 -3.030 1.862
-5.627 0.256 -0.022
0.514 -1.530 -5.397
Fe Ru
8 1
direct
0.664 0.000 0.664
0.336 0.000 0.336
0.000 0.664 0.664
0.670 0.670 0.339
0.330 0.670 0.000
0.000 0.336 0.336
0.670 0.330 0.000
0.330 0.330 0.661
0.000 0.000 0.000
```

Results
As for the density of states at the Fermi level: 1.36 states/eV/atom. The calculation puts the formation energy from the elements at 1.10 eV per formula unit. As for the space group: No. 139. As for the total energy: -8.4304 eV per atom.


Entry 6:
La6Sm5Ho2: relaxed, PBE.

Structure (POSCAR):
```
La6Sm5Ho2
1.0
3.674 0.000 0.000
0.000 11.789 0.000
0.000 0.000 21.206
La Sm Ho
12 10 4
direct
0.000 0.169 0.381
0.000 0.831 0.619
0.000 0.669 0.119
0.000 0.331 0.881
0.500 0.420 0.150
0.500 0.580 0.850
0.500 0.920 0.350
0.500 0.080 0.650
0.000 0.715 0.448
0.000 0.285 0.552
0.000 0.215 0.052
0.000 0.785 0.948
0.500 0.446 0.423
0.500 0.554 0.577
0.500 0.946 0.077
0.500 0.054 0.923
0.500 0.653 0.280
0.500 0.347 0.720
0.500 0.153 0.220
0.500 0.847 0.780
0.500 0.500 0.000
0.500 0.000 0.500
0.000 0.393 0.287
0.000 0.607 0.713
0.000 0.893 0.213
0.000 0.107 0.787
```

Results
As for the density of states at the Fermi level: 1.41 states/eV/atom. The calculation puts the formation energy from the elements at 0.92 eV per formula unit. As for the space group: No. 55. As for the total energy: -4.7231 eV per atom.


Entry 7:
YCuRh2: relaxed, PBE.

Structure (POSCAR):
```
YCuRh2
1.0
3.047 0.000 0.000
0.000 3.859 0.000
0.000 0.000 5.706
Cu Rh Y
1 2 1
direct
0.500 0.500 0.786
0.000 0.000 0.991
0.500 0.500 0.229
0.000 0.000 0.495
```

Results
As for the density of states at the Fermi level: 1.03 states/eV/atom. The calculation puts the formation energy from the elements at -0.85 eV per formula unit. As for the space group: No. 25. As for the total energy: -6.5295 eV per atom.


Entry 8:
Sm5Bi2C: relaxed, PBE.

Structure (POSCAR):
```
Sm5Bi2C
1.0
5.496 0.000 0.000
-2.748 8.101 0.000
0.000 0.000 12.949
Sm Bi C
10 4 2
direct
0.929 0.858 0.875
0.929 0.858 0.625
0.282 0.564 0.408
0.282 0.564 0.092
0.698 0.395 0.250
0.302 0.605 0.750
0.718 0.436 0.592
0.718 0.436 0.908
0.071 0.142 0.125
0.071 0.142 0.375
0.869 0.737 0.395
0.869 0.737 0.105
0.131 0.263 0.605
0.131 0.263 0.895
0.818 0.635 0.750
0.182 0.365 0.250
```

Results
As for the density of states at the Fermi level: 1.12 states/eV/atom. The calculation puts the formation energy from the elements at -1.16 eV per formula unit. As for the space group: No. 63. As for the total energy: -5.2183 eV per atom.